Entry 1:
First-principles (PBE) data for a relaxed TiNbMo3 crystal, as listed in Alexandria via LeMat-Bulk.

Summary:
Formation energy from the elements, meV/atom: 1678.0
DOS(E_F), states/eV/f.u.: 7.71
Density, Mg/m³: 6.72

```
data_TiNbMo3
_chemical_formula_sum 'Ti1 Nb1 Mo3'
_cell_length_a 4.7303
_cell_length_b 4.7303
_cell_length_c 4.7303
_cell_angle_alpha 90.00
_cell_angle_beta 90.00
_cell_angle_gamma 90.00
_symmetry_space_group_name_H-M 'P m -3 m'
_symmetry_Int_Tables_number 221
_symmetry_space_group_name_Hall '-P 4 2 3'
loop_
_atom_site_label
_atom_site_type_symbol
_atom_site_fract_x
_atom_site_fract_y
_atom_site_fract_z
_atom_site_occupancy
Ti1 Ti 0.0000 0.0000 0.0000 1
Nb1 Nb 0.5000 0.5000 0.5000 1
Mo1 Mo 0.0000 0.5000 0.5000 1
```

---

Entry 2:
First-principles (PBE) data for a relaxed Ti2Nb6Mo crystal, as listed in Alexandria via LeMat-Bulk.

Summary:
Formation energy from the elements, meV/atom: 778.8
DOS(E_F), states/eV/f.u.: 8.38
Density, Mg/m³: 6.85

```
data_Ti2Nb6Mo
_chemical_formula_sum 'Ti4 Nb12 Mo2'
_cell_length_a 4.4130
_cell_length_b 6.1968
_cell_length_c 13.2720
_cell_angle_alpha 90.00
_cell_angle_beta 90.00
_cell_angle_gamma 90.00
_symmetry_space_group_name_H-M 'I m m m'
_symmetry_Int_Tables_number 71
_symmetry_space_group_name_Hall '-I 2 2'
loop_
_atom_site_label
_atom_site_type_symbol
_atom_site_fract_x
_atom_site_fract_y
_atom_site_fract_z
_atom_site_occupancy
Ti1 Ti 0.0000 0.0000 0.1665 1
Nb1 Nb 0.0000 0.2505 0.3326 1
Nb2 Nb 0.0000 0.2513 0.0000 1
Mo1 Mo 0.0000 0.0000 0.5000 1
```

---

Entry 3:
First-principles (PBE) data for a relaxed TiNb2Mo crystal, as listed in Alexandria via LeMat-Bulk.

Summary:
Formation energy from the elements, meV/atom: 568.0
DOS(E_F), states/eV/f.u.: 4.73
Density, Mg/m³: 7.47

```
data_TiNb2Mo
_chemical_formula_sum 'Ti2 Nb4 Mo2'
_cell_length_a 2.8060
_cell_length_b 4.8854
_cell_length_c 10.6940
_cell_angle_alpha 90.00
_cell_angle_beta 90.00
_cell_angle_gamma 90.00
_symmetry_space_group_name_H-M 'I m m m'
_symmetry_Int_Tables_number 71
_symmetry_space_group_name_Hall '-I 2 2'
loop_
_atom_site_label
_atom_site_type_symbol
_atom_site_fract_x
_atom_site_fract_y
_atom_site_fract_z
_atom_site_occupancy
Ti1 Ti 0.0000 0.0000 0.0000 1
Nb1 Nb 0.0000 0.0000 0.2530 1
Mo1 Mo 0.0000 0.0000 0.5000 1
```

---

Entry 4:
First-principles (PBE) data for a relaxed TiNb14Mo crystal, as listed in Alexandria via LeMat-Bulk.

Summary:
Formation energy from the elements, meV/atom: -21.1
DOS(E_F), states/eV/f.u.: 27.15
Density, Mg/m³: 8.34

```
data_TiNb14Mo
_chemical_formula_sum 'Ti2 Nb28 Mo2'
_cell_length_a 6.5971
_cell_length_b 9.3430
_cell_length_c 9.3328
_cell_angle_alpha 90.00
_cell_angle_beta 90.00
_cell_angle_gamma 90.00
_symmetry_space_group_name_H-M 'C m m m'
_symmetry_Int_Tables_number 65
_symmetry_space_group_name_Hall '-C 2 2'
loop_
_atom_site_label
_atom_site_type_symbol
_atom_site_fract_x
_atom_site_fract_y
_atom_site_fract_z
_atom_site_occupancy
Ti1 Ti 0.0000 0.0000 0.0000 1
Nb1 Nb 0.0000 0.0000 0.5000 1
Nb2 Nb 0.0000 0.2458 0.2470 1
Nb3 Nb 0.0000 0.5000 0.5000 1
Nb4 Nb 0.2431 0.5000 0.2444 1
Nb5 Nb 0.2500 0.2500 0.0000 1
Nb6 Nb 0.2500 0.2500 0.5000 1
Mo1 Mo 0.0000 0.5000 0.0000 1
```

---

Entry 5:
First-principles (PBE) data for a relaxed Ti5Nb2Mo2 crystal, as listed in Alexandria via LeMat-Bulk.

Summary:
Formation energy from the elements, meV/atom: -58.0
DOS(E_F), states/eV/f.u.: 13.34
Density, Mg/m³: 6.73

```
data_Ti5Nb2Mo2
_chemical_formula_sum 'Ti10 Nb4 Mo4'
_cell_length_a 9.7335
_cell_length_b 4.5573
_cell_length_c 7.0259
_cell_angle_alpha 90.00
_cell_angle_beta 102.28
_cell_angle_gamma 90.00
_symmetry_space_group_name_H-M 'C 1 2/m 1'
_symmetry_Int_Tables_number 12
loop_
_symmetry_equiv_pos_as_xyz
'x,y,z'
'-x,-y,-z'
'-x,y,-z'
'x,-y,z'
'x+1/2,y+1/2,z'
'-x+1/2,-y+1/2,-z'
'-x+1/2,y+1/2,-z'
'x+1/2,-y+1/2,z'
loop_
_atom_site_label
_atom_site_type_symbol
_atom_site_fract_x
_atom_site_fract_y
_atom_site_fract_z
_atom_site_occupancy
Ti1 Ti 0.0000 0.0000 0.0000 1
Ti2 Ti 0.0704 0.5000 0.3389 1
Ti3 Ti 0.1220 0.0000 0.6556 1
Nb1 Nb 0.1696 0.5000 0.9832 1
Mo1 Mo 0.2210 0.0000 0.3295 1
```

---

Entry 6:
First-principles (PBE) data for a relaxed Ti3NbMo3 crystal, as listed in Alexandria via LeMat-Bulk.

Summary:
Formation energy from the elements, meV/atom: 180.9
DOS(E_F), states/eV/f.u.: 7.65
Density, Mg/m³: 7.13

```
data_Ti3NbMo3
_chemical_formula_sum 'Ti12 Nb4 Mo12'
_cell_length_a 9.5808
_cell_length_b 9.0167
_cell_length_c 5.7544
_cell_angle_alpha 90.00
_cell_angle_beta 100.79
_cell_angle_gamma 90.00
_symmetry_space_group_name_H-M 'C 1 2/m 1'
_symmetry_Int_Tables_number 12
loop_
_symmetry_equiv_pos_as_xyz
'x,y,z'
'-x,-y,-z'
'-x,y,-z'
'x,-y,z'
'x+1/2,y+1/2,z'
'-x+1/2,-y+1/2,-z'
'-x+1/2,y+1/2,-z'
'x+1/2,-y+1/2,z'
loop_
_atom_site_label
_atom_site_type_symbol
_atom_site_fract_x
_atom_site_fract_y
_atom_site_fract_z
_atom_site_occupancy
Ti1 Ti 0.0756 0.0000 0.2958 1
Ti2 Ti 0.2371 0.2259 0.7449 1
Nb1 Nb 0.1475 0.5000 0.8946 1
Mo1 Mo 0.0000 0.2572 0.0000 1
Mo2 Mo 0.0000 0.2671 0.5000 1
Mo3 Mo 0.1409 0.5000 0.4006 1
```